[1]
A relaxed structure of RhO, computed with PBE.

POSCAR file:
```
RhO
1.0
-2.7430 -2.2907 6.9731
0.7045 -5.1383 -1.4108
4.9818 0.1330 2.0034
Rh O
8 8
direct
0.6771 0.0344 0.5794
0.1771 0.4656 0.4206
0.3229 0.5344 0.9206
0.8229 0.9656 0.0794
0.2547 0.0093 0.3393
0.7547 0.4907 0.6607
0.7453 0.5093 0.1607
0.2453 0.9907 0.8393
0.4276 0.0648 0.5956
0.9276 0.4352 0.4044
0.5724 0.5648 0.9044
0.0724 0.9352 0.0956
0.3541 0.6612 0.2704
0.8541 0.8388 0.7296
0.6459 0.1612 0.2296
0.1459 0.3388 0.7704
```

[2]
A relaxed structure of RhO, computed with PBE.

POSCAR file:
```
RhO
1.0
7.9796 0.0000 0.0000
-3.9898 6.9105 0.0000
0.0000 0.0000 2.8121
Rh O
6 6
direct
0.8454 0.3059 0.2500
0.5395 0.8454 0.7500
0.6941 0.5395 0.2500
0.1546 0.6941 0.7500
0.4605 0.1546 0.2500
0.3059 0.4605 0.7500
0.7256 0.0142 0.2500
0.7113 0.7256 0.7500
0.9858 0.7113 0.2500
0.2744 0.9858 0.7500
0.2887 0.2744 0.2500
0.0142 0.2887 0.7500
```

[3]
A relaxed structure of RhO, computed with PBE.

POSCAR file:
```
RhO
1.0
-0.9349 4.0776 5.0858
-4.6088 -4.0469 2.3975
4.6099 -3.2190 3.4283
Rh O
8 8
direct
0.3605 0.3605 0.3605
0.3605 0.6395 0.6395
0.6395 0.3605 0.6395
0.6395 0.6395 0.3605
0.8605 0.8605 0.8605
0.8605 0.1395 0.1395
0.1395 0.8605 0.1395
0.1395 0.1395 0.8605
0.1913 0.1913 0.1913
0.1913 0.8087 0.8087
0.8087 0.1913 0.8087
0.8087 0.8087 0.1913
0.6913 0.6913 0.6913
0.6913 0.3087 0.3087
0.3087 0.6913 0.3087
0.3087 0.3087 0.6913
```

[4]
A relaxed structure of RhO, computed with PBE.

POSCAR file:
```
RhO
1.0
-5.8494 -3.8540 4.9061
3.0924 -7.6320 -2.3084
1.7885 0.0644 2.1830
Rh O
8 8
direct
0.4211 0.2984 0.0000
0.5789 0.7016 0.0000
0.7016 0.4211 0.0000
0.2984 0.5789 0.0000
0.9211 0.7984 0.5000
0.0789 0.2016 0.5000
0.2016 0.9211 0.5000
0.7984 0.0789 0.5000
0.3737 0.7980 0.0000
0.6263 0.2020 0.0000
0.2020 0.3737 0.0000
0.7980 0.6263 0.0000
0.8737 0.2980 0.5000
0.1263 0.7020 0.5000
0.7020 0.8737 0.5000
0.2980 0.1263 0.5000
```

[5]
A relaxed structure of RhO, computed with PBE.

POSCAR file:
```
RhO
1.0
3.7037 0.0000 0.0000
0.0000 4.2079 0.0000
0.0000 0.0000 9.6376
Rh O
6 6
direct
0.0000 0.7016 0.8138
0.5000 0.2984 0.6862
0.5000 0.2984 0.3138
0.0000 0.7016 0.1862
0.0000 0.6960 0.5000
0.5000 0.3040 0.0000
0.0000 0.0009 0.6526
0.5000 0.9991 0.8474
0.5000 0.9991 0.1526
0.0000 0.0009 0.3474
0.0000 0.4602 0.0000
0.5000 0.5398 0.5000
```

[6]
A relaxed structure of RhO, computed with PBE.

POSCAR file:
```
RhO
1.0
-0.6818 2.8111 0.1606
-1.4234 -1.0491 12.3191
10.0860 2.3682 1.3671
Rh O
16 16
direct
0.0000 0.1306 0.0000
0.0000 0.8694 0.0000
0.2500 0.6194 0.2500
0.2500 0.8806 0.2500
0.0000 0.6306 0.5000
0.0000 0.3694 0.5000
0.2500 0.1194 0.7500
0.2500 0.3806 0.7500
0.5000 0.1306 0.5000
0.5000 0.8694 0.5000
0.7500 0.6194 0.7500
0.7500 0.8806 0.7500
0.5000 0.6306 0.0000
0.5000 0.3694 0.0000
0.7500 0.1194 0.2500
0.7500 0.3806 0.2500
0.0000 0.0000 0.8753
0.0000 0.0000 0.1247
0.2500 0.7500 0.3747
0.2500 0.7500 0.1253
0.0000 0.5000 0.3753
0.0000 0.5000 0.6247
0.2500 0.2500 0.8747
0.2500 0.2500 0.6253
0.5000 0.0000 0.3753
0.5000 0.0000 0.6247
0.7500 0.7500 0.8747
0.7500 0.7500 0.6253
0.5000 0.5000 0.8753
0.5000 0.5000 0.1247
0.7500 0.2500 0.3747
0.7500 0.2500 0.1253
```

[7]
A relaxed structure of RhO, computed with PBE.

POSCAR file:
```
RhO
1.0
-0.6242 1.0371 2.5234
-2.7039 -0.5803 -0.4303
0.8732 -6.0794 2.7116
Rh O
2 2
direct
0.7500 0.7500 0.1767
0.2500 0.2500 0.8233
0.7499 0.7500 0.7176
0.2501 0.2500 0.2824
```

[8]
A relaxed structure of RhO3, computed with PBE.

POSCAR file:
```
RhO3
1.0
2.9066 0.0000 0.0000
0.9689 6.0991 0.0000
-0.9689 3.0495 5.2820
Rh O
1 3
direct
0.5000 0.0000 0.0000
0.3349 0.1651 0.6697
0.5000 0.1651 0.1651
0.6651 0.6697 0.1651
```

no.,raw formation energy (eV per atom),theoretical density (g/cm³)
1,-0.21,6.98
2,-0.07,7.64
3,0.27,5.53
4,-0.22,7.65
5,-0.27,7.89
6,0.02,8.38
7,0.05,7.51
8,0.16,2.68